No. 1
GGA-PBE MoRhSe2, relaxed; calculated density = 6.7 g cm⁻³; uncorrected formation energy = 68 meV per atom; volume = 22.052 A^3/atom; ΔE to the lowest computed polymorph = 0.242 eV per atom
1.0
-2.815 2.815 5.565
2.815 -2.815 5.565
2.815 2.815 -5.565
Mo Rh Se
2 2 4
Direct
0.000 0.000 0.000
0.750 0.250 0.500
0.250 0.750 0.500
0.500 0.500 0.000
0.125 0.625 0.000
0.375 0.375 0.500
0.625 0.125 0.000
0.875 0.875 0.500


No. 2
GGA-PBE GaSn2Ir, relaxed; calculated density = 7.2 g cm⁻³; volume = 28.940 A^3/atom; formation enthalpy at 0 K = 29.2 kJ/mol of atoms
1.0
-3.007 3.007 6.401
3.007 -3.007 6.401
3.007 3.007 -6.401
Ga Sn Ir
2 4 2
Direct
0.000 0.000 0.000
0.750 0.250 0.500
0.152 0.625 0.027
0.375 0.402 0.527
0.598 0.125 0.973
0.875 0.848 0.473
0.250 0.750 0.500
0.500 0.500 0.000


No. 3
GGA-PBE NaTiTlCl6, relaxed; calculated density = 2.9 g cm⁻³; uncorrected formation energy = -1500 meV per atom; volume = 30.589 A^3/atom
1.0
6.915 0.000 0.000
-3.458 5.989 0.000
0.000 0.000 6.646
Na Ti Tl Cl
1 1 1 6
Direct
0.000 0.000 0.000
0.333 0.667 0.000
0.667 0.333 0.500
0.063 0.381 0.207
0.063 0.681 0.793
0.319 0.381 0.793
0.319 0.937 0.207
0.619 0.681 0.207
0.619 0.937 0.793


No. 4
GGA-PBE Cs2SrI3, relaxed; calculated density = 3.5 g cm⁻³; uncorrected formation energy = -1335 meV per atom; volume = 58.021 A^3/atom
1.0
8.199 -4.352 0.000
8.199 4.352 0.000
-3.287 0.000 9.757
Cs Sr I
4 2 6
Direct
0.151 0.168 0.078
0.168 0.151 0.578
0.832 0.849 0.422
0.849 0.832 0.922
0.473 0.527 0.250
0.527 0.473 0.750
0.153 0.847 0.750
0.352 0.358 0.426
0.358 0.352 0.926
0.642 0.648 0.074
0.648 0.642 0.574
0.847 0.153 0.250


No. 5
GGA-PBE TcH3Pt, relaxed; calculated density = 11.6 g cm⁻³; volume = 8.443 A^3/atom; ΔE to the lowest computed polymorph = 0.034 eV per atom
1.0
3.482 0.000 0.000
0.000 3.482 0.000
0.000 0.000 3.482
Tc H Pt
1 3 1
Direct
0.000 0.000 0.000
0.000 0.500 0.500
0.500 0.000 0.500
0.500 0.500 0.000
0.500 0.500 0.500


No. 6
GGA-PBE TlSbS3, relaxed; calculated density = 4.3 g cm⁻³; uncorrected formation energy = -192 meV per atom; volume = 32.369 A^3/atom; ΔE to the lowest computed polymorph = 0.000 eV per atom
1.0
4.830 0.000 0.000
0.000 7.228 0.000
-1.879 0.000 9.272
Tl Sb S
2 2 6
Direct
0.221 0.000 0.371
0.779 0.500 0.629
0.216 0.092 0.867
0.784 0.592 0.133
0.198 0.561 0.350
0.365 0.393 0.818
0.459 0.394 0.259
0.541 0.894 0.741
0.635 0.893 0.182
0.802 0.061 0.650


No. 7
GGA-PBE CoAs2PBr, relaxed; calculated density = 5.3 g cm⁻³; uncorrected formation energy = 704 meV per atom; volume = 20.062 A^3/atom; ΔE to the lowest computed polymorph = 0.000 eV per atom
1.0
4.547 0.000 0.000
0.000 4.547 0.000
0.000 0.000 4.852
Co As P Br
1 2 1 1
Direct
0.000 0.000 0.000
0.000 0.500 0.000
0.500 0.000 0.000
0.500 0.500 0.500
0.000 0.000 0.500


No. 8
GGA-PBE As2RuBr, relaxed; calculated density = 5.1 g cm⁻³; uncorrected formation energy = 64 meV per atom; volume = 26.906 A^3/atom; ΔE to the lowest computed polymorph = 0.139 eV per atom
1.0
3.763 0.000 0.000
0.000 3.958 0.000
-1.077 0.000 7.225
As Ru Br
2 1 1
Direct
0.000 0.000 0.000
0.485 0.500 0.996
0.566 0.000 0.217
0.693 0.500 0.449


Number 1: magnetic moment 0.00 μB per cell. Number 2: magnetic moment 0.00 μB per cell. Number 3: magnetic moment 0.00 μB per cell. Number 4: magnetic moment 1.28 μB per cell. Number 5: magnetic moment 1.44 μB per cell. Number 6: magnetic moment 0.00 μB per cell. Number 7: magnetic moment 0.00 μB per cell. Number 8: magnetic moment 0.00 μB per cell.